1.
VASP calculation (GGA-PBE) on crystalline BeCd2C at its relaxed geometry.

```
data_BeCd2C
_chemical_formula_sum 'Be4 Cd8 C4'
_cell_length_a 6.192
_cell_length_b 6.192
_cell_length_c 6.192
_cell_angle_alpha 90.00
_cell_angle_beta 90.00
_cell_angle_gamma 90.00
_symmetry_space_group_name_H-M 'F m -3 m'
_symmetry_Int_Tables_number 225
_symmetry_space_group_name_Hall '-F 4 2 3'
loop_
_atom_site_label
_atom_site_type_symbol
_atom_site_fract_x
_atom_site_fract_y
_atom_site_fract_z
Be1 Be 0.000 0.000 0.000
Cd1 Cd 0.250 0.250 0.250
C1 C 0.000 0.000 0.500
```

Energy above the most stable polymorph in this dataset   0.000 eV per atom
Formation energy   1.37 eV per atom
Magnetization   0.0 μB/f.u.
Fermi-level density of states   0.0 states/eV/f.u.

=====

2.
VASP calculation (GGA-PBE) on crystalline BeCd2C at its relaxed geometry.

```
data_BeCd2C
_chemical_formula_sum 'Be4 Cd8 C4'
_cell_length_a 5.226
_cell_length_b 5.226
_cell_length_c 11.989
_cell_angle_alpha 90.00
_cell_angle_beta 90.00
_cell_angle_gamma 90.00
_symmetry_space_group_name_H-M 'I -4 2 d'
_symmetry_Int_Tables_number 122
_symmetry_space_group_name_Hall 'I -4 2bw'
loop_
_atom_site_label
_atom_site_type_symbol
_atom_site_fract_x
_atom_site_fract_y
_atom_site_fract_z
Be1 Be 0.000 0.000 0.000
Cd1 Cd 0.177 0.250 0.625
C1 C 0.000 0.000 0.500
```

Energy above the most stable polymorph in this dataset   0.084 eV per atom
Formation energy   1.45 eV per atom
Magnetization   0.0 μB/f.u.
Fermi-level density of states   0.4 states/eV/f.u.

=====

3.
VASP calculation (GGA-PBE) on crystalline Be3CdC at its relaxed geometry.

```
data_Be3CdC
_chemical_formula_sum 'Be3 Cd1 C1'
_cell_length_a 3.753
_cell_length_b 3.753
_cell_length_c 3.753
_cell_angle_alpha 90.00
_cell_angle_beta 90.00
_cell_angle_gamma 90.00
_symmetry_space_group_name_H-M 'P m -3 m'
_symmetry_Int_Tables_number 221
_symmetry_space_group_name_Hall '-P 4 2 3'
loop_
_atom_site_label
_atom_site_type_symbol
_atom_site_fract_x
_atom_site_fract_y
_atom_site_fract_z
Be1 Be 0.000 0.000 0.500
Cd1 Cd 0.500 0.500 0.500
C1 C 0.000 0.000 0.000
```

Energy above the most stable polymorph in this dataset   0.000 eV per atom
Formation energy   0.50 eV per atom
Magnetization   0.0 μB/f.u.
Fermi-level density of states   1.6 states/eV/f.u.

=====

4.
VASP calculation (GGA-PBE) on crystalline BeCdC at its relaxed geometry.

```
data_BeCdC
_chemical_formula_sum 'Be2 Cd2 C2'
_cell_length_a 2.878
_cell_length_b 3.289
_cell_length_c 9.267
_cell_angle_alpha 83.29
_cell_angle_beta 81.29
_cell_angle_gamma 64.11
_symmetry_space_group_name_H-M 'P -1'
_symmetry_Int_Tables_number 2
loop_
_symmetry_equiv_pos_as_xyz
'x,y,z'
'-x,-y,-z'
loop_
_atom_site_label
_atom_site_type_symbol
_atom_site_fract_x
_atom_site_fract_y
_atom_site_fract_z
Be1 Be 0.105 0.210 0.080
Cd1 Cd 0.372 0.407 0.349
C1 C 0.408 0.618 0.068
```

Formation energy   0.42 eV per atom
Magnetization   0.0 μB/f.u.
Fermi-level density of states   0.5 states/eV/f.u.

=====

5.
VASP calculation (GGA-PBE) on crystalline BeCd3C at its relaxed geometry.

```
data_BeCd3C
_chemical_formula_sum 'Be1 Cd3 C1'
_cell_length_a 4.603
_cell_length_b 4.603
_cell_length_c 4.603
_cell_angle_alpha 90.00
_cell_angle_beta 90.00
_cell_angle_gamma 90.00
_symmetry_space_group_name_H-M 'P m -3 m'
_symmetry_Int_Tables_number 221
_symmetry_space_group_name_Hall '-P 4 2 3'
loop_
_atom_site_label
_atom_site_type_symbol
_atom_site_fract_x
_atom_site_fract_y
_atom_site_fract_z
Be1 Be 0.000 0.000 0.000
Cd1 Cd 0.000 0.500 0.500
C1 C 0.500 0.500 0.500
```

Energy above the most stable polymorph in this dataset   0.000 eV per atom
Formation energy   1.12 eV per atom
Magnetization   0.0 μB/f.u.
Fermi-level density of states   1.8 states/eV/f.u.

=====

6.
VASP calculation (GGA-PBE) on crystalline BeCdFe2C at its relaxed geometry.

```
data_BeCdFe2C
_chemical_formula_sum 'Be1 Cd1 Fe2 C1'
_cell_length_a 4.893
_cell_length_b 4.893
_cell_length_c 3.904
_cell_angle_alpha 90.00
_cell_angle_beta 90.00
_cell_angle_gamma 90.00
_symmetry_space_group_name_H-M 'P 4/m m m'
_symmetry_Int_Tables_number 123
_symmetry_space_group_name_Hall '-P 4 2'
loop_
_atom_site_label
_atom_site_type_symbol
_atom_site_fract_x
_atom_site_fract_y
_atom_site_fract_z
Be1 Be 0.000 0.000 0.000
Cd1 Cd 0.500 0.500 0.500
Fe1 Fe 0.000 0.500 0.500
C1 C 0.500 0.500 0.000
```

Formation energy   2.43 eV per atom
Magnetization   5.9 μB/f.u.
Fermi-level density of states   7.7 states/eV/f.u.

=====

7.
VASP calculation (GGA-PBE) on crystalline Hf2BeCdC at its relaxed geometry.

```
data_Hf2BeCdC
_chemical_formula_sum 'Hf2 Be1 Cd1 C1'
_cell_length_a 4.650
_cell_length_b 4.650
_cell_length_c 3.580
_cell_angle_alpha 90.00
_cell_angle_beta 90.00
_cell_angle_gamma 90.00
_symmetry_space_group_name_H-M 'P 4/m m m'
_symmetry_Int_Tables_number 123
_symmetry_space_group_name_Hall '-P 4 2'
loop_
_atom_site_label
_atom_site_type_symbol
_atom_site_fract_x
_atom_site_fract_y
_atom_site_fract_z
Hf1 Hf 0.000 0.500 0.000
Be1 Be 0.000 0.000 0.500
Cd1 Cd 0.500 0.500 0.500
C1 C 0.000 0.000 0.000
```

Formation energy   -0.20 eV per atom
Magnetization   0.0 μB/f.u.
Fermi-level density of states   1.0 states/eV/f.u.

=====

8.
VASP calculation (GGA-PBE) on crystalline BeCdInC2 at its relaxed geometry.

```
data_BeCdInC2
_chemical_formula_sum 'Be1 Cd1 In1 C2'
_cell_length_a 3.902
_cell_length_b 3.902
_cell_length_c 5.232
_cell_angle_alpha 90.00
_cell_angle_beta 90.00
_cell_angle_gamma 90.00
_symmetry_space_group_name_H-M 'P 4/m m m'
_symmetry_Int_Tables_number 123
_symmetry_space_group_name_Hall '-P 4 2'
loop_
_atom_site_label
_atom_site_type_symbol
_atom_site_fract_x
_atom_site_fract_y
_atom_site_fract_z
Be1 Be 0.000 0.000 0.000
Cd1 Cd 0.500 0.500 0.500
In1 In 0.000 0.000 0.500
C1 C 0.000 0.500 0.000
```

Formation energy   1.83 eV per atom
Magnetization   0.0 μB/f.u.
Fermi-level density of states   2.8 states/eV/f.u.